[1]
ZnWCl2 PBE optimized geometry; total energy = -4.41 eV per atom; formation energy from raw total energies = 0.073 eV/atom
1.0
1.520 0.878 9.960
-1.520 0.878 9.960
0.000 -1.756 9.960
Zn W Cl
1 1 2
direct
0.000 0.000 0.000 Zn
0.500 0.500 0.500 W
0.107 0.107 0.107 Cl
0.893 0.893 0.893 Cl

[2]
ZnWCl2 PBE optimized geometry; total energy = -3.98 eV per atom; formation energy from raw total energies = 0.501 eV/atom
1.0
3.025 0.000 0.000
0.000 3.025 0.000
0.000 0.000 9.283
Zn W Cl
1 1 2
direct
0.000 0.000 0.000 Zn
0.000 0.000 0.500 W
0.500 0.500 0.339 Cl
0.500 0.500 0.661 Cl

[3]
ZnWCl2 PBE optimized geometry; total energy = -3.86 eV per atom; formation energy from raw total energies = 0.615 eV/atom
1.0
2.901 0.000 0.000
0.000 4.342 0.000
0.000 0.000 5.556
Zn W Cl
1 1 2
direct
0.000 0.000 0.000 Zn
0.500 0.000 0.500 W
0.000 0.500 0.500 Cl
0.500 0.500 0.000 Cl

[4]
ZnWCl2 PBE optimized geometry; total energy = -4.48 eV per atom; formation energy from raw total energies = -0.003 eV/atom
1.0
5.051 -1.474 0.000
5.051 1.474 0.000
-2.665 0.000 6.765
Zn W Cl
1 1 2
direct
0.000 0.000 0.000 Zn
0.264 0.264 0.000 W
0.679 0.679 0.714 Cl
0.830 0.830 0.286 Cl

[5]
ZnWCl2 PBE optimized geometry; total energy = -4.35 eV per atom; formation energy from raw total energies = 0.131 eV/atom
1.0
3.006 0.000 0.000
0.000 3.006 0.000
0.000 0.000 8.218
Zn W Cl
1 1 2
direct
0.000 0.000 0.000 Zn
0.500 0.500 0.762 W
0.000 0.000 0.588 Cl
0.500 0.500 0.190 Cl

[6]
ZnWCl2 PBE optimized geometry; total energy = -3.52 eV per atom; formation energy from raw total energies = 0.959 eV/atom
1.0
4.234 0.000 0.000
0.000 4.234 0.000
0.000 0.000 4.077
Zn W Cl
1 1 2
direct
0.000 0.000 0.000 Zn
0.500 0.500 0.000 W
0.000 0.500 0.500 Cl
0.500 0.000 0.500 Cl

[7]
ZnW4Cl PBE optimized geometry; total energy = -8.00 eV per atom; formation energy from raw total energies = 1.159 eV/atom
1.0
0.000 3.781 3.781
3.781 0.000 3.781
3.781 3.781 0.000
Zn W Cl
1 4 1
direct
0.000 0.000 0.000 Zn
0.376 0.376 0.376 W
0.376 0.376 0.871 W
0.376 0.871 0.376 W
0.871 0.376 0.376 W
0.750 0.750 0.750 Cl

[8]
ZnWCl2 PBE optimized geometry; total energy = -3.55 eV per atom; formation energy from raw total energies = 0.927 eV/atom
1.0
4.770 0.000 0.000
0.000 4.770 0.000
0.000 0.000 2.938
Zn W Cl
1 1 2
direct
0.000 0.000 0.000 Zn
0.500 0.500 0.000 W
0.000 0.500 0.500 Cl
0.500 0.000 0.500 Cl

[9]
ZnWCl2 PBE optimized geometry; total energy = -4.18 eV per atom; formation energy from raw total energies = 0.299 eV/atom
1.0
2.936 0.000 0.000
0.000 4.250 0.000
-1.069 0.000 5.595
Zn W Cl
1 1 2
direct
0.000 0.000 0.000 Zn
0.500 0.000 0.500 W
0.421 0.500 0.259 Cl
0.579 0.500 0.741 Cl

[10]
ZrWCl PBE optimized geometry; total energy = -6.46 eV per atom; formation energy from raw total energies = 1.323 eV/atom
1.0
0.000 3.240 3.240
3.240 0.000 3.240
3.240 3.240 0.000
Zr W Cl
1 1 1
direct
0.000 0.000 0.000 Zr
0.250 0.250 0.250 W
0.750 0.750 0.750 Cl

[11]
Zr2WCl PBE optimized geometry; total energy = -7.88 eV per atom; formation energy from raw total energies = 0.092 eV/atom
1.0
1.607 0.928 10.157
-1.607 0.928 10.157
0.000 -1.855 10.157
Zr W Cl
2 1 1
direct
0.000 0.000 0.000 Zr
0.247 0.247 0.247 Zr
0.734 0.734 0.734 W
0.520 0.520 0.520 Cl

[12]
Zr2WCl PBE optimized geometry; total energy = -7.59 eV per atom; formation energy from raw total energies = 0.380 eV/atom
1.0
-1.929 1.929 5.195
1.929 -1.929 5.195
1.929 1.929 -5.195
Zr W Cl
2 1 1
direct
0.000 0.000 0.000 Zr
0.750 0.250 0.500 Zr
0.500 0.500 0.000 W
0.250 0.750 0.500 Cl

[13]
ZrWCl PBE optimized geometry; total energy = -6.73 eV per atom; formation energy from raw total energies = 1.048 eV/atom
1.0
0.000 3.045 3.045
3.045 0.000 3.045
3.045 3.045 0.000
Zr W Cl
1 1 1
direct
0.000 0.000 0.000 Zr
0.500 0.500 0.500 W
0.750 0.750 0.750 Cl

[14]
ZrWCl4 PBE optimized geometry; total energy = -3.71 eV per atom; formation energy from raw total energies = 1.108 eV/atom
1.0
0.000 3.979 3.979
3.979 0.000 3.979
3.979 3.979 0.000
Zr W Cl
1 1 4
direct
0.000 0.000 0.000 Zr
0.250 0.250 0.250 W
0.124 0.625 0.625 Cl
0.625 0.124 0.625 Cl
0.625 0.625 0.124 Cl
0.625 0.625 0.625 Cl

[15]
Zr2WCl PBE optimized geometry; total energy = -7.77 eV per atom; formation energy from raw total energies = 0.208 eV/atom
1.0
3.444 0.000 0.000
0.000 3.444 0.000
0.000 0.000 7.986
Zr W Cl
2 1 1
direct
0.000 0.000 0.000 Zr
0.500 0.500 0.220 Zr
0.500 0.500 0.843 W
0.000 0.000 0.408 Cl